The following is a PBE calculation of a relaxed structure of Al2FeCuH, from the Alexandria database.

- magnetic moment (μB per cell) = 0.323
- uncorrected energy (eV per cell) = -23.906

Geometry as CIF:
```
data_Al2FeCuH
_chemical_formula_sum 'Al2 Fe1 Cu1 H1'
_space_group_name_H-M_alt 'P 4/m m m'
_space_group_IT_number 123
_space_group_name_Hall '-P 4 2'
_cell_length_a 4.108
_cell_length_b 4.108
_cell_length_c 3.142
_cell_angle_alpha 90.00
_cell_angle_beta 90.00
_cell_angle_gamma 90.00
loop_
_atom_site_label
_atom_site_fract_x
_atom_site_fract_y
_atom_site_fract_z
_atom_site_occupancy
Al1 0.000 0.500 0.000 1
Fe1 0.000 0.000 0.500 1
Cu1 0.500 0.500 0.500 1
H1 0.000 0.000 0.000 1
```

The following is a PBE calculation of a relaxed structure of LiPAuO2, from the Alexandria database.

- magnetic moment (μB per cell) = 1.719
- ΔE_f (raw) (eV per formula unit) = 2.0
- uncorrected energy (eV per cell) = -18.490
- ΔE to the lowest computed polymorph (eV/atom) = 0.031

Geometry as CIF:
```
data_LiPAuO2
_chemical_formula_sum 'Li1 P1 Au1 O2'
_space_group_name_H-M_alt 'P 4/m m m'
_space_group_IT_number 123
_space_group_name_Hall '-P 4 2'
_cell_length_a 4.093
_cell_length_b 4.093
_cell_length_c 4.953
_cell_angle_alpha 90.00
_cell_angle_beta 90.00
_cell_angle_gamma 90.00
loop_
_atom_site_label
_atom_site_fract_x
_atom_site_fract_y
_atom_site_fract_z
_atom_site_occupancy
Li1 0.000 0.000 0.000 1
P1 0.500 0.500 0.000 1
Au1 0.500 0.500 0.500 1
O1 0.000 0.500 0.500 1
```

The following is a PBE calculation of a relaxed structure of H2Cl7F2, from the Alexandria database.

- magnetic moment (μB per cell) = 1.885
- uncorrected energy (eV per cell) = -48.886

Geometry as CIF:
```
data_H2Cl7F2
_chemical_formula_sum 'H4 Cl14 F4'
_space_group_name_H-M_alt 'C 1 2/m 1'
_space_group_IT_number 12
_cell_length_a 8.410
_cell_length_b 14.781
_cell_length_c 5.196
_cell_angle_alpha 90.00
_cell_angle_beta 107.13
_cell_angle_gamma 90.00
loop_
_space_group_symop_operation_xyz
'x,y,z'
'-x,-y,-z'
'-x,y,-z'
'x,-y,z'
'x+1/2,y+1/2,z'
'-x+1/2,-y+1/2,-z'
'-x+1/2,y+1/2,-z'
'x+1/2,-y+1/2,z'
loop_
_atom_site_label
_atom_site_fract_x
_atom_site_fract_y
_atom_site_fract_z
_atom_site_occupancy
H1 0.000 0.188 0.000 1
Cl1 0.000 0.500 0.500 1
Cl2 0.017 0.232 0.743 1
Cl3 0.221 0.500 0.312 1
F1 0.118 0.000 0.832 1
```

The following is a PBE calculation of a relaxed structure of Mg3Pd6Rh, from the Alexandria database.

- magnetic moment (μB per cell) = 0.600
- uncorrected energy (eV per cell) = -95.761
- DFT formation energy (meV per atom) = -458.8

Geometry as CIF:
```
data_Mg3Pd6Rh
_chemical_formula_sum 'Mg6 Pd12 Rh2'
_space_group_name_H-M_alt 'P 1 21/m 1'
_space_group_IT_number 11
_cell_length_a 7.481
_cell_length_b 4.564
_cell_length_c 9.832
_cell_angle_alpha 90.00
_cell_angle_beta 110.69
_cell_angle_gamma 90.00
loop_
_space_group_symop_operation_xyz
'x,y,z'
'-x,-y,-z'
'-x,y+1/2,-z'
'x,-y+1/2,z'
loop_
_atom_site_label
_atom_site_fract_x
_atom_site_fract_y
_atom_site_fract_z
_atom_site_occupancy
Mg1 0.077 0.250 0.228 1
Mg2 0.303 0.250 0.022 1
Mg3 0.319 0.750 0.383 1
Pd1 0.097 0.250 0.727 1
Pd2 0.105 0.750 0.076 1
Pd3 0.291 0.250 0.534 1
Pd4 0.301 0.750 0.863 1
Pd5 0.485 0.250 0.325 1
Pd6 0.498 0.750 0.167 1
Rh1 0.095 0.750 0.563 1
```

The following is a PBE calculation of a relaxed structure of HgAuSe, from the Alexandria database.

- magnetic moment (μB per cell) = 0.000
- ΔE_f (raw) (eV per formula unit) = -0.3
- uncorrected energy (eV per cell) = -14.775
- ΔE to the lowest computed polymorph (eV/atom) = 0.000

Geometry as CIF:
```
data_HgAuSe
_chemical_formula_sum 'Hg2 Au2 Se2'
_space_group_name_H-M_alt 'P 1'
_space_group_IT_number 1
_cell_length_a 4.846
_cell_length_b 4.956
_cell_length_c 7.713
_cell_angle_alpha 106.89
_cell_angle_beta 104.69
_cell_angle_gamma 94.32
loop_
_space_group_symop_operation_xyz
'x,y,z'
loop_
_atom_site_label
_atom_site_fract_x
_atom_site_fract_y
_atom_site_fract_z
_atom_site_occupancy
Hg1 0.000 0.000 0.000 1
Hg2 0.205 0.217 0.769 1
Au1 0.104 0.608 0.385 1
Au2 0.604 0.108 0.385 1
Se1 0.492 0.506 0.619 1
Se2 0.715 0.711 0.151 1
```

The following is a PBE calculation of a relaxed structure of Be3C, from the Alexandria database.

- magnetic moment (μB per cell) = 0.000
- uncorrected energy (eV per cell) = -75.677
- ΔE to the lowest computed polymorph (eV/atom) = 0.164
- DFT formation energy (meV per atom) = 370.8

Geometry as CIF:
```
data_Be3C
_chemical_formula_sum 'Be12 C4'
_space_group_name_H-M_alt 'C m c m'
_space_group_IT_number 63
_space_group_name_Hall '-C 2c 2'
_cell_length_a 6.992
_cell_length_b 7.926
_cell_length_c 2.465
_cell_angle_alpha 90.00
_cell_angle_beta 90.00
_cell_angle_gamma 90.00
loop_
_atom_site_label
_atom_site_fract_x
_atom_site_fract_y
_atom_site_fract_z
_atom_site_occupancy
Be1 0.000 0.224 0.250 1
Be2 0.243 0.130 0.750 1
C1 0.000 0.450 0.250 1
```

The following is a PBE calculation of a relaxed structure of Na3HoEr2Te6, from the Alexandria database.

- magnetic moment (μB per cell) = 0.000
- ΔE_f (raw) (eV per formula unit) = -15.7
- uncorrected energy (eV per cell) = -104.359

Geometry as CIF:
```
data_Na3HoEr2Te6
_chemical_formula_sum 'Na6 Ho2 Er4 Te12'
_space_group_name_H-M_alt 'C 1 2/m 1'
_space_group_IT_number 12
_cell_length_a 7.626
_cell_length_b 13.208
_cell_length_c 7.981
_cell_angle_alpha 90.00
_cell_angle_beta 108.57
_cell_angle_gamma 90.00
loop_
_space_group_symop_operation_xyz
'x,y,z'
'-x,-y,-z'
'-x,y,-z'
'x,-y,z'
'x+1/2,y+1/2,z'
'-x+1/2,-y+1/2,-z'
'-x+1/2,y+1/2,-z'
'x+1/2,-y+1/2,z'
loop_
_atom_site_label
_atom_site_fract_x
_atom_site_fract_y
_atom_site_fract_z
_atom_site_occupancy
Na1 0.000 0.000 0.000 1
Na2 0.000 0.333 0.000 1
Ho1 0.000 0.500 0.500 1
Er1 0.000 0.167 0.500 1
Te1 0.243 0.000 0.730 1
Te2 0.244 0.333 0.730 1
```

The following is a PBE calculation of a relaxed structure of LiTh2Ti, from the Alexandria database.

- magnetic moment (μB per cell) = 0.000
- uncorrected energy (eV per cell) = -23.806
- ΔE to the lowest computed polymorph (eV/atom) = 0.000
- DFT formation energy (meV per atom) = 210.5

Geometry as CIF:
```
data_LiTh2Ti
_chemical_formula_sum 'Li1 Th2 Ti1'
_space_group_name_H-M_alt 'P 4/m m m'
_space_group_IT_number 123
_space_group_name_Hall '-P 4 2'
_cell_length_a 3.368
_cell_length_b 3.368
_cell_length_c 9.243
_cell_angle_alpha 90.00
_cell_angle_beta 90.00
_cell_angle_gamma 90.00
loop_
_atom_site_label
_atom_site_fract_x
_atom_site_fract_y
_atom_site_fract_z
_atom_site_occupancy
Li1 0.000 0.000 0.000 1
Th1 0.500 0.500 0.267 1
Ti1 0.000 0.000 0.500 1
```

The following is a PBE calculation of a relaxed structure of NaAc4Pm, from the Alexandria database.

- magnetic moment (μB per cell) = 0.001
- uncorrected energy (eV per cell) = -80.554
- DFT formation energy (meV per atom) = 394.2

Geometry as CIF:
```
data_NaAc4Pm
_chemical_formula_sum 'Na4 Ac16 Pm4'
_space_group_name_H-M_alt 'F -4 3 m'
_space_group_IT_number 216
_space_group_name_Hall 'F -4 2 3'
_cell_length_a 10.365
_cell_length_b 10.365
_cell_length_c 10.365
_cell_angle_alpha 90.00
_cell_angle_beta 90.00
_cell_angle_gamma 90.00
loop_
_atom_site_label
_atom_site_fract_x
_atom_site_fract_y
_atom_site_fract_z
_atom_site_occupancy
Na1 0.000 0.000 0.000 1
Ac1 0.123 0.123 0.377 1
Pm1 0.250 0.250 0.750 1
```

The following is a PBE calculation of a relaxed structure of Be2CoHgH, from the Alexandria database.

- magnetic moment (μB per cell) = 0.000
- uncorrected energy (eV per cell) = -15.481

Geometry as CIF:
```
data_Be2CoHgH
_chemical_formula_sum 'Be2 Co1 Hg1 H1'
_space_group_name_H-M_alt 'P 4/m m m'
_space_group_IT_number 123
_space_group_name_Hall '-P 4 2'
_cell_length_a 4.226
_cell_length_b 4.226
_cell_length_c 3.220
_cell_angle_alpha 90.00
_cell_angle_beta 90.00
_cell_angle_gamma 90.00
loop_
_atom_site_label
_atom_site_fract_x
_atom_site_fract_y
_atom_site_fract_z
_atom_site_occupancy
Be1 0.000 0.500 0.000 1
Co1 0.000 0.000 0.000 1
Hg1 0.500 0.500 0.500 1
H1 0.000 0.000 0.500 1
```

The following is a PBE calculation of a relaxed structure of KLi2Te, from the Alexandria database.

- magnetic moment (μB per cell) = 0.905
- ΔE_f (raw) (eV per formula unit) = -1.8
- uncorrected energy (eV per cell) = -19.704

Geometry as CIF:
```
data_KLi2Te
_chemical_formula_sum 'K2 Li4 Te2'
_space_group_name_H-M_alt 'C m m m'
_space_group_IT_number 65
_space_group_name_Hall '-C 2 2'
_cell_length_a 5.600
_cell_length_b 5.796
_cell_length_c 7.491
_cell_angle_alpha 90.00
_cell_angle_beta 90.00
_cell_angle_gamma 90.00
loop_
_atom_site_label
_atom_site_fract_x
_atom_site_fract_y
_atom_site_fract_z
_atom_site_occupancy
K1 0.000 0.000 0.000 1
Li1 0.000 0.500 0.337 1
Te1 0.000 0.000 0.500 1
```